{"formula": "CeYErPu", "functional": "GGA-PBE", "state": "relaxed", "dft_energy_ev_per_atom": -7.5551, "e_form_ev_per_fu": 1.1, "lattice": [[0.000, 3.941, 3.941], [3.941, 0.000, 3.941], [3.941, 3.941, 0.000]], "species": ["Ce", "Y", "Er", "Pu"], "fractional_positions": [[0.000, 0.000, 0.000], [0.750, 0.750, 0.750], [0.250, 0.250, 0.250], [0.500, 0.500, 0.500]]}